# 1
{"formula": "La2HoTl2Ag2", "functional": "PBE", "state": "optimized geometry", "lattice_angstrom": [[2.4606, 1.4206, 9.2855], [-2.4606, 1.4206, 9.2855], [0.0000, -2.8412, 9.2855]], "species": ["La", "La", "Ho", "Tl", "Tl", "Ag", "Ag"], "frac_coords": [[0.1252, 0.1252, 0.1252], [0.8748, 0.8748, 0.8748], [0.0000, 0.0000, 0.0000], [0.2653, 0.2653, 0.2653], [0.7347, 0.7347, 0.7347], [0.3868, 0.3868, 0.3868], [0.6132, 0.6132, 0.6132]], "ef_ev_per_atom": -0.2156, "sg": "R-3m, No. 166", "mass_density_g_cm3": 9.10, "magnetic_moment_mub_per_atom": 0.02, "dft_energy_ev_per_cell": -26.4}

# 2
{"formula": "Pu3Tl3AuS8", "functional": "PBE", "state": "optimized geometry", "lattice_angstrom": [[6.6798, -4.0940, 0.0000], [6.6798, 4.0940, 0.0000], [-4.3007, 0.0000, 7.4742]], "species": ["Pu", "Pu", "Pu", "Tl", "Tl", "Tl", "Au", "S", "S", "S", "S", "S", "S", "S", "S"], "frac_coords": [[0.0000, 0.0000, 0.0000], [0.0000, 0.5000, 0.0000], [0.5000, 0.0000, 0.0000], [0.0000, 0.5000, 0.5000], [0.5000, 0.0000, 0.5000], [0.5000, 0.5000, 0.5000], [0.5000, 0.5000, 0.0000], [0.1969, 0.7555, 0.2070], [0.2335, 0.2335, 0.1972], [0.2445, 0.8031, 0.7930], [0.2895, 0.2895, 0.8231], [0.7105, 0.7105, 0.1769], [0.7555, 0.1969, 0.2070], [0.7665, 0.7665, 0.8028], [0.8031, 0.2445, 0.7930]], "raw_formation_energy_ev_per_atom": -0.92, "sg": "C2/m, No. 12", "mass_density_g_cm3": 7.31, "magnetic_moment_mub_per_atom": 0.83, "dft_energy_ev_per_cell": -100.2}